w.
BaYPO2 (PBE-GGA, relaxed); mass density = 4.31 g/cm3
1.0
4.524 0.000 0.000
0.000 4.524 0.000
0.000 0.000 5.443
P O Ba Y
1 2 1 1
Cartesian
0.000 0.000 2.721
2.262 0.000 0.000
0.000 2.262 0.000
2.262 2.262 2.721
0.000 0.000 0.000

=====

x.
BaYPO2 (PBE-GGA, relaxed); mass density = 3.93 g/cm3
1.0
4.367 0.000 0.000
0.000 6.405 0.000
0.000 0.000 4.367
O Y P Ba
2 1 1 1
Cartesian
2.184 0.000 0.000
0.000 0.000 2.184
2.184 3.203 2.184
0.000 3.203 0.000
0.000 0.000 0.000

=====

So which one is most stable? That would be w, about 104.8 kJ/mol of atoms below the next structure.

=====

w.
Ba2ZnPO (PBE-GGA, relaxed); mass density = 5.14 g/cm3
1.0
-2.152 1.292 3.238
0.558 -6.298 2.883
7.196 5.316 2.662
Zn O Ba P
2 2 4 2
Cartesian
0.544 -0.707 4.532
5.057 1.017 4.251
5.924 -0.405 5.394
-0.322 0.715 3.389
2.331 1.134 2.393
-0.962 -3.782 4.757
6.564 4.092 4.026
3.271 -0.824 6.390
1.924 -2.350 3.512
3.678 2.660 5.271

=====

x.
Ba2ZnPO (PBE-GGA, relaxed); mass density = 5.05 g/cm3
1.0
-4.582 2.048 2.311
-1.403 -3.873 0.650
2.466 -0.063 4.945
P Ba O Zn
1 2 1 1
Cartesian
-0.702 -1.937 0.325
-2.291 1.024 1.156
1.233 -0.032 2.472
0.000 0.000 0.000
-1.760 -0.944 3.953

=====

So which one is most stable? That would be w, about 39.2 kJ/mol of atoms below the next structure.

=====

w.
BaZnPO2 (PBE-GGA, relaxed); mass density = 5.15 g/cm3
1.0
-2.459 -2.951 -2.118
3.236 -2.941 0.341
-1.674 -1.392 3.882
Ba Zn O P
1 1 2 1
Cartesian
-0.448 -3.642 1.053
0.000 0.000 0.000
1.618 -1.470 0.170
-1.229 -1.475 -1.059
-0.837 -0.696 1.941

=====

x.
BaZnPO2 (PBE-GGA, relaxed); mass density = 3.18 g/cm3
1.0
4.421 0.000 0.000
0.000 4.421 0.000
0.000 0.000 7.099
P O Ba Zn
1 2 1 1
Cartesian
0.000 0.000 3.549
2.211 0.000 0.000
0.000 2.211 0.000
0.000 0.000 0.000
2.211 2.211 3.549

=====

So which one is most stable? That would be w, about 84.6 kJ/mol of atoms below the next structure.

=====

w.
BaZrPO2 (PBE-GGA, relaxed); mass density = 4.97 g/cm3
1.0
4.296 0.000 0.000
0.000 4.296 0.000
0.000 0.000 5.275
O Zr P Ba
2 1 1 1
Cartesian
0.000 2.148 0.000
2.148 0.000 0.000
0.000 0.000 0.000
0.000 0.000 2.637
2.148 2.148 2.637

=====

x.
BaZrPO2 (PBE-GGA, relaxed); mass density = 4.07 g/cm3
1.0
-2.323 -3.471 0.948
1.525 -1.972 -3.482
4.937 -2.350 3.492
P O Ba Zr
1 2 1 1
Cartesian
2.468 -1.175 1.746
-1.161 -1.735 0.474
0.762 -0.986 -1.741
0.000 0.000 0.000
2.069 -3.896 0.479

=====

So which one is most stable? That would be w, about 187.7 kJ/mol of atoms below the next structure.

=====

w.
BaPa2O6 (PBE-GGA, relaxed); mass density = 6.51 g/cm3
1.0
7.945 0.000 0.000
3.972 6.880 0.000
3.972 2.293 6.487
Ba O Pa
2 12 4
Cartesian
11.917 6.880 4.865
7.945 4.587 3.243
10.298 3.228 5.165
7.945 7.304 5.165
10.298 5.946 1.322
3.972 0.424 0.300
5.592 5.946 1.322
3.972 4.163 2.944
5.592 1.359 2.944
5.592 3.228 0.300
5.592 3.228 5.165
7.945 1.870 1.322
2.353 1.359 2.944
2.353 3.228 0.300
3.972 2.293 4.054
3.972 4.587 0.811
5.959 1.147 0.811
1.986 1.147 0.811

=====

x.
BaPa2O6 (PBE-GGA, relaxed); mass density = 6.45 g/cm3
1.0
4.203 0.000 1.218
1.754 5.739 1.809
0.106 0.152 7.492
O Ba Pa
6 1 2
Cartesian
4.302 4.742 8.732
4.851 2.126 6.839
1.211 3.766 3.680
3.298 0.867 4.340
1.760 1.150 1.787
2.764 5.025 6.179
0.000 0.000 0.000
1.218 1.517 3.657
4.844 4.375 6.863

=====

So which one is most stable? That would be x, about 15.6 kJ/mol of atoms below the next structure.

=====

w.
Ba2PaO4 (PBE-GGA, relaxed); mass density = 6.82 g/cm3
1.0
4.477 0.000 0.000
0.000 4.477 0.000
-2.238 -2.238 6.919
O Pa Ba
4 1 2
Cartesian
0.000 2.238 0.000
2.238 2.238 4.697
2.238 0.000 0.000
0.000 0.000 2.222
0.000 0.000 0.000
0.000 0.000 4.801
2.238 2.238 2.118

=====

x.
Ba2PaO4 (PBE-GGA, relaxed); mass density = 7.06 g/cm3
1.0
-1.789 -2.891 -1.520
-2.046 -1.927 6.074
-8.840 6.028 -1.065
O Pa Ba
8 2 4
Cartesian
-2.829 -2.382 3.297
-4.604 0.287 4.871
-7.541 0.358 3.630
-5.134 0.852 -0.141
-9.846 3.591 0.192
-2.306 0.381 1.988
-6.282 3.814 0.138
-8.581 3.720 3.021
-4.420 3.014 -0.533
-1.023 -0.964 3.037
-10.140 1.712 4.111
-2.535 -0.503 -0.623
-7.761 1.752 1.238
-4.914 -0.542 2.251

=====

So which one is most stable? That would be x, about 7.3 kJ/mol of atoms below the next structure.

=====

w.
Ba3PbO (PBE-GGA, relaxed); mass density = 5.93 g/cm3
1.0
-3.862 3.955 1.599
-2.932 -1.098 -4.363
-2.386 -9.454 7.288
Pb O Ba
2 2 6
Cartesian
-5.257 1.182 -0.070
-3.922 -7.780 4.594
-6.118 -4.680 1.984
-3.061 -1.918 2.540
-4.290 -6.798 1.290
-4.632 -2.615 0.467
-4.889 0.200 3.235
-1.653 0.037 1.101
-7.526 -6.634 3.423
-4.547 -3.983 4.058

=====

x.
Ba3PbO (PBE-GGA, relaxed); mass density = 6.16 g/cm3
1.0
-2.582 -0.117 -4.915
2.899 -4.520 -1.416
-3.971 -3.225 2.163
Pb Ba O
1 3 1
Cartesian
-1.827 -3.931 -2.084
1.450 -2.260 -0.708
-1.291 -0.058 -2.458
-1.985 -1.612 1.081
0.000 0.000 0.000

=====

So which one is most stable? That would be x, about 15.6 kJ/mol of atoms below the next structure.

=====

w.
Ba3Pb2O7 (PBE-GGA, relaxed); mass density = 7.36 g/cm3
1.0
4.379 0.000 0.000
0.000 4.379 0.000
-2.190 -2.190 11.038
O Ba Pb
7 3 2
Cartesian
0.000 0.000 0.000
2.190 0.000 2.152
0.000 2.190 8.886
0.000 2.190 2.152
2.190 0.000 8.886
2.190 2.190 6.674
0.000 0.000 4.364
2.190 2.190 4.068
0.000 0.000 6.970
2.190 2.190 0.000
2.190 2.190 8.852
0.000 0.000 2.186

=====

x.
Ba3Pb2O7 (PBE-GGA, relaxed); mass density = 7.21 g/cm3
1.0
-3.340 -2.679 0.349
1.183 -1.964 -3.756
5.906 -6.353 7.761
Pb Ba O
2 3 7
Cartesian
1.250 -1.411 1.132
5.839 -6.906 2.873
2.519 -6.069 3.968
1.230 -4.927 0.386
-1.078 -2.322 -1.704
4.175 -8.251 3.052
0.000 0.000 0.000
-0.425 -2.745 1.301
2.478 -2.797 2.243
1.816 -2.364 -0.770
5.273 -5.953 4.775
4.612 -5.520 1.762

=====

So which one is most stable? That would be w, about 8.9 kJ/mol of atoms below the next structure.

=====

w.
Ba2PbO3 (PBE-GGA, relaxed); mass density = 6.15 g/cm3
1.0
8.022 0.447 1.490
2.675 5.366 1.375
-0.559 -0.465 6.656
O Ba Pb
6 4 2
Cartesian
5.824 3.428 3.032
8.095 4.420 8.724
4.315 1.921 6.489
2.044 0.928 0.797
2.108 0.606 3.811
8.030 4.743 5.710
4.452 1.193 2.395
1.885 2.285 5.747
8.254 3.063 3.774
5.687 4.156 7.126
4.062 4.672 3.530
6.077 0.676 5.991

=====

x.
Ba2PbO3 (PBE-GGA, relaxed); mass density = 7.03 g/cm3
1.0
3.794 0.000 0.000
0.000 4.533 0.000
-1.897 -2.266 7.277
Ba O Pb
2 3 1
Cartesian
0.000 0.000 5.040
1.897 2.266 2.237
1.897 2.266 4.831
0.000 0.000 2.446
0.000 2.266 0.000
0.000 0.000 0.000

=====

So which one is most stable? That would be w, about 11.8 kJ/mol of atoms below the next structure.

=====

w.
Ba4Pb2O (PBE-GGA, relaxed); mass density = 5.54 g/cm3
1.0
8.996 0.000 0.576
0.000 7.828 0.000
-2.635 0.000 8.164
Ba Pb O
8 4 2
Cartesian
3.009 3.875 6.604
3.009 0.039 6.604
6.376 1.957 5.285
3.351 7.789 2.136
8.129 1.957 1.232
-1.769 5.871 7.508
3.351 3.953 2.136
-0.015 5.871 3.455
5.348 5.871 4.589
6.465 5.871 1.476
1.013 1.957 4.151
-0.105 1.957 7.264
4.566 1.957 7.075
1.795 5.871 1.665

=====

x.
Ba4Pb2O (PBE-GGA, relaxed); mass density = 5.97 g/cm3
1.0
5.545 0.000 0.000
0.000 5.545 0.000
2.772 2.772 8.860
Ba Pb O
4 2 1
Cartesian
5.545 5.545 2.943
2.772 0.000 0.000
2.772 2.772 5.917
0.000 2.772 0.000
2.772 2.772 2.330
5.545 5.545 6.530
0.000 0.000 0.000

=====

So which one is most stable? That would be w, about 4.0 kJ/mol of atoms below the next structure.

=====

w.
Ba5Pb2O (PBE-GGA, relaxed); mass density = 5.44 g/cm3
1.0
5.839 0.000 0.000
-2.919 6.755 0.000
0.000 0.000 17.276
Ba O Pb
10 2 4
Cartesian
0.000 5.251 2.299
0.000 1.475 2.287
0.000 1.475 6.351
2.919 5.280 10.925
2.919 1.504 14.977
2.919 1.504 10.937
0.000 3.400 12.957
2.919 3.355 4.319
0.000 5.251 6.339
2.919 5.280 14.989
0.000 3.359 4.319
2.919 3.395 12.957
0.000 3.377 9.454
2.919 3.377 0.816
2.919 3.377 7.822
0.000 3.377 16.460

=====

x.
Ba5Pb2O (PBE-GGA, relaxed); mass density = 5.78 g/cm3
1.0
7.760 0.000 0.000
0.000 10.057 0.000
0.000 0.000 16.446
Pb Ba O
8 20 4
Cartesian
1.940 6.826 1.363
1.940 4.587 11.340
1.940 1.798 6.860
5.820 3.231 15.082
5.820 5.470 5.106
5.820 8.259 9.586
5.820 0.442 3.117
1.940 9.615 13.329
0.011 1.592 9.964
1.940 2.857 14.265
5.820 9.778 13.055
1.940 5.308 4.832
0.000 0.000 0.000
0.011 6.621 14.705
1.940 7.885 10.404
3.891 3.436 1.741
1.940 0.279 3.391
3.891 8.465 6.482
7.750 8.465 6.482
5.820 7.200 2.181
5.820 2.172 6.042
3.880 0.000 0.000
0.000 5.028 8.223
3.870 1.592 9.964
5.820 4.749 11.614
3.870 6.621 14.705
7.750 3.436 1.741
3.880 5.028 8.223
5.820 3.307 9.447
5.820 8.335 15.221
1.940 6.750 6.998
1.940 1.722 1.225

=====

So which one is most stable? That would be x, about 15.1 kJ/mol of atoms below the next structure.